[1]
Li6HgS4 (GGA-PBE, relaxed); spin magnetization = 0.0 Bohr magnetons per cell
1.0
3.699 0.000 0.859
1.078 6.572 3.755
0.176 0.276 7.639
S Li Hg
4 6 1
Direct
0.500 0.483 0.517
0.755 0.002 0.489
0.245 0.511 0.998
0.000 0.047 0.953
0.690 0.384 0.236
0.127 0.169 0.577
0.367 0.123 0.143
0.873 0.423 0.831
0.310 0.764 0.616
0.633 0.857 0.877
0.000 0.717 0.283

=====

[2]
Al2Co2Os (GGA-PBE, relaxed); ΔH_f (0 K) = -0.1755 eV per atom; spin magnetization = 0.1 Bohr magnetons per cell; density of states at the Fermi level = 0.864 states/eV/atom
1.0
-2.547 -2.455 5.822
-1.268 -5.951 -3.064
2.426 -0.874 0.693
Al Co Os
4 4 2
Direct
0.363 0.863 0.000
0.137 0.363 0.000
0.863 0.637 0.000
0.637 0.137 0.000
0.838 0.338 0.500
0.162 0.662 0.500
0.662 0.838 0.500
0.338 0.162 0.500
0.500 0.500 0.000
0.000 0.000 0.000

=====

[3]
YAlCr2N (GGA-PBE, relaxed); spin magnetization = 3.4 Bohr magnetons per cell; density of states at the Fermi level = 0.798 states/eV/atom
1.0
4.106 0.000 0.000
0.000 4.319 0.000
0.000 0.000 4.106
Y N Cr Al
1 1 2 1
Direct
0.500 0.500 0.500
0.000 0.000 0.000
0.000 0.000 0.500
0.500 0.000 0.000
0.000 0.500 0.000

=====

[4]
Re2Ag (GGA-PBE, relaxed); ΔH_f (0 K) = 0.5257 eV per atom; spin magnetization = 0.0 Bohr magnetons per cell; density of states at the Fermi level = 0.583 states/eV/atom
1.0
-1.376 2.015 4.197
1.376 -2.015 4.197
1.376 2.015 -4.197
Re Ag
2 1
Direct
0.674 0.674 0.000
0.326 0.326 0.000
0.000 0.000 0.000

=====

[5]
Zn2IrSe (GGA-PBE, relaxed); spin magnetization = 0.0 Bohr magnetons per cell; density of states at the Fermi level = 0.455 states/eV/atom
1.0
7.956 -0.237 -0.140
7.432 2.851 -0.140
7.432 1.262 2.560
Zn Ir Se
2 1 1
Direct
0.503 0.503 0.503
0.997 0.997 0.997
0.250 0.250 0.250
0.750 0.750 0.750

=====

[6]
TaI2Br (GGA-PBE, relaxed); spin magnetization = 1.1 Bohr magnetons per cell; density of states at the Fermi level = 0.308 states/eV/atom
1.0
-4.981 3.969 -2.058
-5.472 -5.380 -0.772
-4.578 3.094 6.188
Br I Ta
2 4 2
Direct
0.228 0.880 0.736
0.819 0.231 0.733
0.924 0.721 0.445
0.216 0.263 0.044
0.531 0.255 0.419
0.629 0.728 0.031
0.806 0.902 0.736
0.462 0.110 0.734

=====

[7]
Rb2ScPtO4 (GGA-PBE, relaxed); spin magnetization = 2.1 Bohr magnetons per cell; density of states at the Fermi level = 0.660 states/eV/atom
1.0
5.671 0.000 0.000
2.835 6.789 0.000
2.835 0.000 10.957
Rb Sc Pt O
4 2 2 8
Direct
0.936 0.500 0.127
0.814 0.000 0.373
0.186 0.000 0.627
0.564 0.500 0.873
0.750 0.500 0.500
0.000 0.000 0.000
0.500 0.000 0.000
0.250 0.500 0.500
0.632 0.203 0.038
0.872 0.797 0.962
0.331 0.797 0.038
0.165 0.203 0.962
0.118 0.297 0.462
0.878 0.703 0.538
0.419 0.703 0.462
0.585 0.297 0.538

=====

[8]
BaScTe (GGA-PBE, relaxed); spin magnetization = 1.3 Bohr magnetons per cell; density of states at the Fermi level = 1.099 states/eV/atom
1.0
-1.217 1.681 3.761
0.716 -4.222 -0.334
6.899 1.029 1.772
Ba Sc Te
1 1 1
Direct
0.000 0.000 0.967
0.333 0.667 0.411
0.667 0.333 0.623

=====

[9]
SiTeRh2 (GGA-PBE, relaxed); spin magnetization = 0.0 Bohr magnetons per cell; density of states at the Fermi level = 0.591 states/eV/atom
1.0
-4.720 0.251 -0.979
0.074 -1.932 -4.423
1.199 -1.549 4.411
Rh Te Si
2 1 1
Direct
0.554 0.554 0.000
0.946 0.946 0.000
0.250 0.750 0.500
0.750 0.250 0.500

=====

no.,total energy (Ha/atom)
1,-0.133
2,-0.248
3,-0.275
4,-0.321
5,-0.133
6,-0.166
7,-0.211
8,-0.163
9,-0.220